Entry 1:
A relaxed VRh2Cl crystal, computed with GGA-PBE.

The structure in POSCAR format:
```
VRh2Cl
1.0
6.1995 0.0000 0.0000
0.0000 6.1995 0.0000
0.0000 0.0000 6.1995
V Rh Cl
4 8 4
direct
0.0000 0.0000 0.0000
0.0000 0.5000 0.5000
0.5000 0.0000 0.5000
0.5000 0.5000 0.0000
0.2500 0.2500 0.2500
0.2500 0.2500 0.7500
0.2500 0.7500 0.2500
0.2500 0.7500 0.7500
0.7500 0.2500 0.2500
0.7500 0.2500 0.7500
0.7500 0.7500 0.2500
0.7500 0.7500 0.7500
0.0000 0.0000 0.5000
0.0000 0.5000 0.0000
0.5000 0.0000 0.0000
0.5000 0.5000 0.5000
```

Values from the calculation:
Energy above the lowest structure with this stoichiometry, eV per formula unit: 0.197
Formation energy from raw total energies, eV/atom: 0.421
Symmetry: Fm-3m

---

Entry 2:
A relaxed BaSrCaCd crystal, computed with GGA-PBE.

The structure in POSCAR format:
```
BaSrCaCd
1.0
4.0886 0.0000 0.0000
0.0000 4.0886 0.0000
0.0000 0.0000 10.3581
Ba Sr Ca Cd
1 1 1 1
direct
0.0000 0.0000 0.0000
0.5000 0.5000 0.6621
0.0000 0.0000 0.3799
0.5000 0.5000 0.2211
```

Values from the calculation:
Symmetry: P4mm
E_form, eV/f.u.: -0.640

---

Entry 3:
A relaxed Nb2CdFe2 crystal, computed with GGA-PBE.

The structure in POSCAR format:
```
Nb2CdFe2
1.0
7.5072 0.0000 0.0000
0.0000 7.5072 0.0000
0.0000 0.0000 2.8515
Nb Cd Fe
4 2 4
direct
0.1451 0.3549 0.0000
0.3549 0.8549 0.0000
0.6451 0.1451 0.0000
0.8549 0.6451 0.0000
0.0000 0.0000 0.0000
0.5000 0.5000 0.0000
0.1439 0.6439 0.5000
0.3561 0.1439 0.5000
0.6439 0.8561 0.5000
0.8561 0.3561 0.5000
```

Values from the calculation:
Energy above the lowest structure with this stoichiometry, eV per formula unit: 1.071
Symmetry: P4/mbm
E_form, eV/f.u.: 1.503

---

Entry 4:
A relaxed Ta2CrIn crystal, computed with GGA-PBE.

The structure in POSCAR format:
```
Ta2CrIn
1.0
3.9301 0.0000 0.0000
0.0000 3.9301 0.0000
0.0000 0.0000 20.1504
Ta Cr In
8 4 4
direct
0.2448 0.2500 0.1250
0.2500 0.7448 0.3750
0.2500 0.7552 0.8750
0.2552 0.2500 0.6250
0.7448 0.7500 0.6250
0.7500 0.2448 0.8750
0.7500 0.2552 0.3750
0.7552 0.7500 0.1250
0.0000 0.0000 0.0000
0.0000 0.5000 0.2500
0.5000 0.0000 0.7500
0.5000 0.5000 0.5000
0.0000 0.0000 0.5000
0.0000 0.5000 0.7500
0.5000 0.0000 0.2500
0.5000 0.5000 0.0000
```

Values from the calculation:
Symmetry: I-42d
E_form, eV/f.u.: 3.159

---

Entry 5:
A relaxed Mg3SbN crystal, computed with GGA-PBE.

The structure in POSCAR format:
```
Mg3SbN
1.0
8.4615 0.0000 0.0000
0.0000 5.6672 0.0000
-2.2894 0.0000 7.9186
Mg Sb N
12 4 4
direct
0.0489 0.0658 0.1801
0.0489 0.4342 0.6801
0.1625 0.5791 0.0565
0.1625 0.9209 0.5565
0.3149 0.1256 0.9878
0.3149 0.3744 0.4878
0.6851 0.6256 0.5122
0.6851 0.8744 0.0122
0.8375 0.0791 0.4435
0.8375 0.4209 0.9435
0.9511 0.5658 0.3199
0.9511 0.9342 0.8199
0.3630 0.6870 0.8320
0.3630 0.8130 0.3320
0.6370 0.1870 0.6680
0.6370 0.3130 0.1680
0.0698 0.2504 0.4492
0.0698 0.2496 0.9492
0.9302 0.7504 0.0508
0.9302 0.7496 0.5508
```

Values from the calculation:
Formation energy from raw total energies, eV/atom: -0.401
Symmetry: P2_1/c

---

| no. | final energy (eV/atom) |
| --- | --- |
| 1 | -5.996 |
| 2 | -1.790 |
| 3 | -7.295 |
| 4 | -8.227 |
| 5 | -3.847 |